The following is a DFT calculation (PBE) of a relaxed structure of NaCoSi2Ag.

Results
Total moment (Bohr magnetons per cell): 0.000
ΔE_f (raw) (eV per atom): 0.0869
Fermi-level density of states (states/eV/cell): 2.28

a = 4.277 Å, b = 5.135 Å, c = 4.277 Å
α = 90.00°, β = 90.00°, γ = 90.00°
Atoms (fractional coordinates):
Co1 0.000 0.000 0.000
Na1 0.500 0.500 0.500
Ag1 0.000 0.500 0.000
Si1 0.500 0.000 0.000
Si2 0.000 0.000 0.500



The following is a DFT calculation (PBE) of a relaxed structure of Na2CoAgTe.

Results
Total moment (Bohr magnetons per cell): 1.987
ΔE_f (raw) (eV per atom): 0.2749
Fermi-level density of states (states/eV/cell): 2.36

a = 5.906 Å, b = 4.758 Å, c = 5.906 Å
α = 90.00°, β = 90.00°, γ = 90.00°
Atoms (fractional coordinates):
Ag1 0.500 0.500 0.500
Na1 0.500 0.000 0.000
Te1 0.000 0.000 0.000
Na2 0.000 0.000 0.500
Co1 0.000 0.500 0.000



The following is a DFT calculation (PBE) of a relaxed structure of NbCoAg2.

Results
Total moment (Bohr magnetons per cell): 1.480
Formation enthalpy at 0 K (eV per atom): 0.568
Fermi-level density of states (states/eV/cell): 5.41
Energy relative to the lowest polymorph listed for this composition (eV per formula unit): 0.000

a = 4.521 Å, b = 4.521 Å, c = 4.521 Å
α = 60.00°, β = 60.00°, γ = 60.00°
Atoms (fractional coordinates):
Ag1 0.750 0.750 0.750
Nb1 0.500 0.500 0.500
Ag2 0.250 0.250 0.250
Co1 0.000 0.000 0.000